Below is a relaxed structure of TbTh2Al2, with properties calculated at the GGA-PBE level.

## Properties
Symmetry   Cmcm, No. 63
Energy   -5.375 eV/atom
Volume   282.54 Å³ per cell
E_form   2 kJ per mole of atoms

a = 5.644 Å, b = 6.120 Å, c = 8.734 Å
α = 110.51°, β = 90.00°, γ = 90.00°
Positions (direct):
Tb 0.000 0.000 0.000
Tb 0.500 0.000 0.000
Th 0.750 0.412 0.824
Th 0.750 0.798 0.596
Th 0.250 0.588 0.176
Th 0.250 0.202 0.404
Al 0.750 0.392 0.267
Al 0.250 0.125 0.733
Al 0.250 0.608 0.733
Al 0.750 0.875 0.267

=====

Below is a relaxed structure of K2LiBiO4, with properties calculated at the GGA-PBE level.

## Properties
Symmetry   I-42m, No. 121
Formation energy from raw total energies   -1.228 eV/atom
Energy   -4.705 eV/atom
Volume   135.28 Å³ per cell

a = 5.897 Å, b = 5.624 Å, c = 5.624 Å
α = 74.05°, β = 58.38°, γ = 58.38°
Positions (direct):
K 0.000 0.500 0.500
K 0.500 0.500 0.500
Li 0.500 0.000 0.000
Bi 0.000 0.000 0.000
O 0.080 0.314 0.000
O 0.920 0.000 0.686
O 0.606 0.000 0.314
O 0.394 0.686 0.000